Record 1
This record from the Alexandria database describes a geometry-optimized Cr2CuAs structure. The functional is PBE.

As for the total magnetic moment: 0.0000 μB/atom. The value obtained for the volume is 108.99 Å³ per cell. The formation energy is 325.4 meV/atom. Its density of states at the Fermi level is 3.02 states/eV/f.u.

Lattice parameters (Å, degrees): 3.076 4.291 8.257 90.00 90.00 90.00
Space group Cmm2 (No. 35)
Symmetry-distinct sites (fractional):
Cr: 0.000 0.000 0.000
Cr: 0.000 0.500 0.211
Cu: 0.000 0.500 0.757
As: 0.000 0.000 0.458

***

Record 2
This record from the Alexandria database describes a geometry-optimized BaLi2TaCd structure. The functional is PBE.

As for the total magnetic moment: 0.9148 μB/atom. The value obtained for the volume is 181.30 Å³ per cell. The formation energy is 1155.0 meV/atom. Its density of states at the Fermi level is 6.08 states/eV/f.u.

Lattice parameters (Å, degrees): 5.411 5.411 6.191 90.00 90.00 90.00
Space group P4/mmm (No. 123)
Symmetry-distinct sites (fractional):
Ba: 0.000 0.000 0.000
Li: 0.000 0.500 0.500
Ta: 0.000 0.000 0.500
Cd: 0.500 0.500 0.000

***

Record 3
This record from the Alexandria database describes a geometry-optimized TlH6N2Cl2 structure. The functional is PBE.

As for the total magnetic moment: 0.0000 μB/atom. The value obtained for the volume is 168.57 Å³ per cell. The calculation puts the final energy at -4.3874 eV per atom. Its density of states at the Fermi level is 3.98 states/eV/f.u.

Lattice parameters (Å, degrees): 4.414 5.850 6.886 90.10 108.54 90.12
Space group P-1 (No. 2)
Symmetry-distinct sites (fractional):
Tl: 0.000 0.000 0.000
H: 0.068 0.571 0.758
H: 0.203 0.265 0.409
H: 0.307 0.430 0.242
N: 0.130 0.327 0.262
Cl: 0.391 0.225 0.779

***

Record 4
This record from the Alexandria database describes a geometry-optimized CsMgSe2O8 structure. The functional is PBE.

As for the total magnetic moment: 0.0937 μB/atom. The value obtained for the volume is 221.54 Å³ per cell. The calculation puts the final energy at -5.2330 eV per atom. Its density of states at the Fermi level is 10.59 states/eV/f.u.

Lattice parameters (Å, degrees): 5.3617 5.3617 8.8986 90.00 90.00 120.00
Space group P-3 (No. 147)
Symmetry-distinct sites (fractional):
Cs: 0.0000 0.0000 0.0000
Mg: 0.0000 0.0000 0.5000
Se: 0.3333 0.6667 0.6962
O: 0.0747 0.3415 0.6407
O: 0.3333 0.6667 0.8841

***

Record 5
This record from the Alexandria database describes a geometry-optimized MoHPbS2 structure. The functional is PBE.

As for the total magnetic moment: 0.5638 μB/atom. The value obtained for the volume is 84.82 Å³ per cell. The calculation puts the final energy at -4.8442 eV per atom. Its density of states at the Fermi level is 1.46 states/eV/f.u.

Lattice parameters (Å, degrees): 4.919 4.919 3.506 90.00 90.00 90.00
Space group P4/mmm (No. 123)
Symmetry-distinct sites (fractional):
Mo: 0.000 0.000 0.000
H: 0.000 0.000 0.500
Pb: 0.500 0.500 0.000
S: 0.000 0.500 0.500

***

Record 6
This record from the Alexandria database describes a geometry-optimized HfTa2BeAl structure. The functional is PBE.

As for the total magnetic moment: 0.0000 μB/atom. The value obtained for the volume is 110.15 Å³ per cell. The formation energy is 1790.6 meV/atom. Its density of states at the Fermi level is 4.41 states/eV/f.u.

Lattice parameters (Å, degrees): 4.924 4.924 4.543 90.00 90.00 90.00
Space group P4/mmm (No. 123)
Symmetry-distinct sites (fractional):
Hf: 0.000 0.000 0.000
Ta: 0.000 0.500 0.000
Be: 0.000 0.000 0.500
Al: 0.500 0.500 0.500

***

Record 7
This record from the Alexandria database describes a geometry-optimized TaCo2Au structure. The functional is PBE.

As for the total magnetic moment: 0.2573 μB/atom. The value obtained for the volume is 111.69 Å³ per cell. The formation energy is -50.2 meV/atom. The relative energy among the computed polymorphs comes out at 0.193 eV per formula unit. Its density of states at the Fermi level is 4.70 states/eV/f.u.

Lattice parameters (Å, degrees): 3.724 3.724 8.053 90.00 90.00 90.00
Space group I-4m2 (No. 119)
Symmetry-distinct sites (fractional):
Ta: 0.000 0.000 0.000
Co: 0.000 0.000 0.500
Co: 0.000 0.500 0.750
Au: 0.000 0.500 0.250

***

Record 8
This record from the Alexandria database describes a geometry-optimized Li2ScCd structure. The functional is PBE.

As for the total magnetic moment: 0.1565 μB/atom. The value obtained for the volume is 319.41 Å³ per cell. The formation energy is -54.3 meV/atom. The relative energy among the computed polymorphs comes out at 0.103 eV per formula unit. Its density of states at the Fermi level is 5.23 states/eV/f.u.

Lattice parameters (Å, degrees): 6.836 6.836 6.836 90.00 90.00 90.00
Space group F-43m (No. 216)
Symmetry-distinct sites (fractional):
Li: 0.000 0.000 0.000
Li: 0.250 0.250 0.250
Sc: 0.000 0.000 0.500
Cd: 0.250 0.250 0.750

***

Record 9
This record from the Alexandria database describes a geometry-optimized LiScZn5 structure. The functional is PBE.

As for the total magnetic moment: 0.0000 μB/atom. The value obtained for the volume is 246.33 Å³ per cell. The formation energy is -77.2 meV/atom. Its density of states at the Fermi level is 3.94 states/eV/f.u.

Lattice parameters (Å, degrees): 5.285 8.021 5.811 90.00 90.00 90.00
Space group Cmmm (No. 65)
Symmetry-distinct sites (fractional):
Li: 0.000 0.000 0.000
Sc: 0.000 0.500 0.500
Zn: 0.000 0.500 0.000
Zn: 0.250 0.250 0.241

***

Record 10
This record from the Alexandria database describes a geometry-optimized GeTe2N structure. The functional is PBE.

As for the total magnetic moment: 0.0000 μB/atom. The value obtained for the volume is 254.74 Å³ per cell. The relative energy among the computed polymorphs comes out at 0.861 eV per formula unit. Its density of states at the Fermi level is 2.32 states/eV/f.u.

Lattice parameters (Å, degrees): 3.2608 3.2608 27.6648 90.00 90.00 120.00
Space group R-3m (No. 166, hexagonal axes)
Symmetry-distinct sites (fractional):
Ge: 0.0000 0.0000 0.0000
Te: 0.0000 0.0000 0.1073
N: 0.0000 0.0000 0.5000

***

Record 11
This record from the Alexandria database describes a geometry-optimized Tc6Pt7 structure. The functional is PBE.

As for the total magnetic moment: 0.0003 μB/atom. The value obtained for the volume is 616.09 Å³ per cell. The formation energy is 260.6 meV/atom. Its density of states at the Fermi level is 16.85 states/eV/f.u.

Lattice parameters (Å, degrees): 5.1728 5.1728 26.5864 90.00 90.00 120.00
Space group R-3m (No. 166, hexagonal axes)
Symmetry-distinct sites (fractional):
Tc: 0.0000 0.0000 0.0432
Tc: 0.0000 0.0000 0.1508
Tc: 0.0000 0.0000 0.3333
Pt: 0.0000 0.0000 0.5000
Pt: 0.0035 0.5017 0.9152

***

Record 12
This record from the Alexandria database describes a geometry-optimized ErPuI6 structure. The functional is PBE.

As for the total magnetic moment: 0.6250 μB/atom. The value obtained for the volume is 1066.97 Å³ per cell. The relative energy among the computed polymorphs comes out at 0.425 eV per formula unit. Its density of states at the Fermi level is 11.87 states/eV/f.u.

Lattice parameters (Å, degrees): 7.6457 7.6457 21.0774 90.00 90.00 120.00
Space group R-3 (No. 148, hexagonal axes)
Symmetry-distinct sites (fractional):
Er: 0.0000 0.0000 0.0000
Pu: 0.0000 0.0000 0.5000
I: 0.0045 0.3452 0.7480